(1)
# PBE-GGA SrRe2OsI, relaxed
data_SrRe2OsI
_chemical_formula_sum 'Sr1 Re2 Os1 I1'
_cell_length_a 4.744
_cell_length_b 4.744
_cell_length_c 5.503
_cell_angle_alpha 90.00
_cell_angle_beta 90.00
_cell_angle_gamma 90.00
_symmetry_space_group_name_H-M 'P 4/m m m'
_symmetry_Int_Tables_number 123
_symmetry_space_group_name_Hall '-P 4 2'
loop_
_atom_site_label
_atom_site_type_symbol
_atom_site_fract_x
_atom_site_fract_y
_atom_site_fract_z
Sr1 Sr 0.000 0.000 0.000
Re1 Re 0.000 0.500 0.000
Os1 Os 0.500 0.500 0.500
I1 I 0.000 0.000 0.500
# Size of the total moment (μB per formula unit): 0.007
# Crystal system: tetragonal
# Formation energy without anion corrections (eV per atom): 3.912


(2)
# PBE-GGA Tl2Pb5Au2, relaxed
data_Tl2Pb5Au2
_chemical_formula_sum 'Tl4 Pb10 Au4'
_cell_length_a 17.385
_cell_length_b 3.377
_cell_length_c 12.145
_cell_angle_alpha 90.00
_cell_angle_beta 131.79
_cell_angle_gamma 90.00
_symmetry_space_group_name_H-M 'C 1 2/m 1'
_symmetry_Int_Tables_number 12
_symmetry_space_group_name_Hall '-C 2y'
loop_
_atom_site_label
_atom_site_type_symbol
_atom_site_fract_x
_atom_site_fract_y
_atom_site_fract_z
Tl1 Tl 0.211 0.000 0.088
Pb1 Pb 0.000 0.500 0.000
Pb2 Pb 0.050 0.000 0.682
Pb3 Pb 0.153 0.000 0.327
Au1 Au 0.171 0.000 0.595
# Size of the total moment (μB per formula unit): 0.000
# Crystal system: monoclinic
# ΔE_f (eV/atom): 0.028